Record 1
Below is a relaxed UCoH6 crystal, with properties calculated at the PBE level.

Output
- Energy: -39.79 eV/cell
- Symmetry: No. 166
- Total moment: 2.91 Bohr magnetons per cell

The structure in POSCAR format:
```
UCoH6
1.0
3.7823 0.0000 1.9760
1.3750 3.5235 1.9760
0.1217 0.0832 4.3748
H U Co
6 1 1
Cartesian
4.7352 3.2352 6.9159 H
2.9654 3.2352 5.9912 H
2.3136 0.3715 2.3355 H
4.0918 1.5864 5.9912 H
1.1871 2.0202 2.3355 H
0.5437 0.3715 1.4109 H
2.6395 1.8033 4.1634 U
0.0000 0.0000 0.0000 Co
```

***

Record 2
Below is a relaxed U2Co6H crystal, with properties calculated at the PBE level.

Output
- Energy: -70.56 eV/cell
- Symmetry: No. 225
- Total moment: 0.60 Bohr magnetons per cell

The structure in POSCAR format:
```
U2Co6H
1.0
4.6158 0.0023 2.6638
1.5371 4.3523 2.6638
0.0009 0.0007 5.3293
U Co H
2 6 1
Cartesian
1.5384 1.0888 2.6640 U
4.6154 3.2665 7.9929 U
3.8505 1.0851 3.9897 Co
2.3038 3.2705 3.9897 Co
1.5315 1.0839 5.3279 Co
2.3033 3.2702 6.6671 Co
4.6223 3.2714 5.3290 Co
3.8500 1.0848 6.6671 Co
3.0769 2.1776 5.3284 H
```

***

Record 3
Below is a relaxed UCo2H4 crystal, with properties calculated at the PBE level.

Output
- Energy: -40.13 eV/cell
- Symmetry: No. 2
- Total moment: 0.51 Bohr magnetons per cell

The structure in POSCAR format:
```
UCo2H4
1.0
1.5364 1.5264 3.3875
3.9990 -1.1030 1.4348
3.5341 3.8438 0.3176
H Co U
4 2 1
Cartesian
5.2289 3.0791 1.9038 H
3.8406 1.1880 3.2361 H
7.0985 2.5320 3.9667 H
1.9710 1.7352 1.1732 H
4.5237 0.9844 1.8176 Co
4.5458 3.2827 3.3223 Co
7.5331 2.7407 1.7524 U
```

***

Record 4
Below is a relaxed UCoH crystal, with properties calculated at the PBE level.

Output
- Energy: -21.42 eV/cell
- Symmetry: No. 107
- Total moment: 1.15 Bohr magnetons per cell

The structure in POSCAR format:
```
UCoH
1.0
-3.0676 1.7598 -0.3073
-1.3678 -2.7065 -1.8453
1.1146 -0.9438 3.9726
H U Co
1 1 1
Cartesian
-3.2512 -1.8011 1.6372 H
-0.6244 -0.8021 1.6393 U
-2.7661 -1.1778 0.3634 Co
```

***

Record 5
Below is a relaxed UCoH3 crystal, with properties calculated at the PBE level.

Output
- Energy: -116.32 eV/cell
- Symmetry: No. 62
- Total moment: 4.69 Bohr magnetons per cell

The structure in POSCAR format:
```
UCoH3
1.0
3.7468 0.0000 0.0000
0.0000 8.3050 0.0000
0.0000 0.0000 5.7541
H U Co
12 4 4
Cartesian
0.9367 5.7414 0.1329 H
2.8101 6.7162 3.0100 H
0.9367 3.4479 1.6601 H
2.8101 5.3372 1.2132 H
0.9367 1.5888 2.7441 H
2.8101 1.1847 1.6639 H
0.9367 7.6004 1.2169 H
2.8101 0.7047 4.5372 H
2.8101 2.5637 5.6211 H
0.9367 7.1203 4.0902 H
2.8101 4.8572 4.0940 H
0.9367 2.9678 4.5409 H
2.8101 6.8343 5.2743 U
0.9367 5.6232 2.3972 U
0.9367 1.4707 0.4798 U
2.8101 2.6818 3.3568 U
2.8101 3.7192 1.0594 Co
0.9367 0.4333 3.9364 Co
2.8101 7.8717 1.8176 Co
0.9367 4.5858 4.6947 Co
```

***

Record 6
Below is a relaxed UCo2H8 crystal, with properties calculated at the PBE level.

Output
- Energy: -52.23 eV/cell
- Symmetry: No. 65
- Total moment: 2.20 Bohr magnetons per cell

The structure in POSCAR format:
```
UCo2H8
1.0
-1.6563 1.5096 2.6549
-4.2012 -2.4900 -1.2051
-0.8469 -4.6931 2.1407
H Co U
8 2 1
Cartesian
-2.4316 -0.0229 3.0428 H
-2.2636 -4.4595 1.1239 H
-4.4408 -1.2140 2.4666 H
-4.2729 -5.6506 0.5477 H
-3.9663 -5.0091 3.1701 H
-4.4164 -3.4213 1.4636 H
-2.7382 -0.6644 0.4204 H
-2.2880 -2.2521 2.1269 H
-5.2704 -2.5950 2.7342 Co
-1.4340 -3.0785 0.8563 Co
-0.8282 0.7548 1.3275 U
```

***

Record 7
Below is a relaxed UCoH4 crystal, with properties calculated at the PBE level.

Output
- Energy: -64.95 eV/cell
- Symmetry: No. 15
- Total moment: 5.56 Bohr magnetons per cell

The structure in POSCAR format:
```
UCoH4
1.0
4.5742 -1.5106 0.0000
-2.8555 7.5593 0.0000
-0.8593 -3.0244 3.0891
H Co U
8 2 2
Cartesian
-2.6125 5.2170 1.2734 H
1.8805 -2.9115 2.7809 H
0.4066 2.1562 2.7809 H
0.4528 0.8681 0.3082 H
2.0440 1.5870 1.2734 H
3.4718 -2.1927 1.8157 H
-1.1847 1.4374 1.8157 H
-1.0212 5.9359 0.3082 H
-2.5713 4.1573 2.4655 Co
3.4307 -1.1329 0.6236 Co
-0.2842 3.4020 0.8300 U
1.1436 -0.3776 2.2591 U
```

***

Record 8
Below is a relaxed UCoH3 crystal, with properties calculated at the PBE level.

Output
- Energy: -29.25 eV/cell
- Symmetry: No. 221
- Total moment: 3.06 Bohr magnetons per cell

The structure in POSCAR format:
```
UCoH3
1.0
-1.1144 -3.0409 1.3779
2.7631 -1.6554 -1.4187
1.8738 0.6325 2.9114
U H Co
1 3 1
Cartesian
1.7613 -2.0319 1.4353 U
0.9369 0.3163 1.4557 H
1.3815 -0.8277 -0.7094 H
-0.5572 -1.5205 0.6889 H
0.0000 0.0000 0.0000 Co
```

***

What is the formula in the sixth record? UCo2H8

***

Which of these has the lowest energy? number 5

***

What is the total moment in the first record? 2.91 Bohr magnetons per cell

***

Copy entry 2 word for word.
Below is a relaxed U2Co6H crystal, with properties calculated at the PBE level.

Output
- Energy: -70.56 eV/cell
- Symmetry: No. 225
- Total moment: 0.60 Bohr magnetons per cell

The structure in POSCAR format:
```
U2Co6H
1.0
4.6158 0.0023 2.6638
1.5371 4.3523 2.6638
0.0009 0.0007 5.3293
U Co H
2 6 1
Cartesian
1.5384 1.0888 2.6640 U
4.6154 3.2665 7.9929 U
3.8505 1.0851 3.9897 Co
2.3038 3.2705 3.9897 Co
1.5315 1.0839 5.3279 Co
2.3033 3.2702 6.6671 Co
4.6223 3.2714 5.3290 Co
3.8500 1.0848 6.6671 Co
3.0769 2.1776 5.3284 H
```